Entry 1:
A plane-wave DFT calculation with PBE was carried out for a geometry-optimized Ce4IrRu2 structure.

## Properties
offset from the most stable computed form = 0.000 eV per atom
calculated formation energy = -457 meV/atom

a b c (Å): 8.508 12.274 7.462
angles (deg): 90.00 124.72 90.00
Space group Cc (No. 9)
Inequivalent atoms, fractional coordinates:
Ce1 0.000 0.002 0.000 x4
Ce2 0.197 0.308 0.614 x4
Ce3 0.366 0.252 0.234 x4
Ce4 0.452 0.058 0.622 x4
Ir1 0.253 0.125 0.868 x4
Ru1 0.072 0.184 0.252 x4
Ru2 0.188 0.434 0.984 x4

Entry 2:
A plane-wave DFT calculation with PBE was carried out for a geometry-optimized Ba2LiCd4Hg3 structure.

## Properties
calculated formation energy = -324 meV/atom

a b c (Å): 4.726 4.726 13.015
angles (deg): 90.00 90.00 90.00
Space group P-4m2 (No. 115)
Inequivalent atoms, fractional coordinates:
Ba1 0.000 0.500 0.247 x2
Li1 0.000 0.000 0.500 x1
Cd1 0.000 0.000 0.000 x1
Cd2 0.000 0.500 0.630 x2
Cd3 0.500 0.500 0.000 x1
Hg1 0.000 0.500 0.857 x2
Hg2 0.500 0.500 0.500 x1

Entry 3:
A plane-wave DFT calculation with PBE was carried out for a geometry-optimized Na4Dy3BiTe8 structure.

## Properties
raw formation energy = -1.119 eV per atom

a b c (Å): 8.9089 8.9089 22.7303
angles (deg): 90.00 90.00 120.00
Space group R-3m (No. 166, hexagonal axes)
Inequivalent atoms, fractional coordinates:
Na1 0.0000 0.0000 0.0000 x3
Na2 0.0000 0.5000 0.0000 x9
Dy1 0.0000 0.5000 0.5000 x9
Bi1 0.0000 0.0000 0.5000 x3
Te1 0.0000 0.0000 0.2435 x6
Te2 0.0041 0.5020 0.7556 x18

Entry 4:
A plane-wave DFT calculation with PBE was carried out for a geometry-optimized KSiPt structure.

## Properties
offset from the most stable computed form = 0.125 eV per atom
raw formation energy = -0.331 eV per atom

a b c (Å): 4.065 4.065 18.087
angles (deg): 90.00 90.00 90.00
Space group I4/mmm (No. 139)
Inequivalent atoms, fractional coordinates:
K1 0.000 0.000 0.164 x4
Si1 0.000 0.000 0.420 x4
Pt1 0.000 0.500 0.000 x4

Entry 5:
A plane-wave DFT calculation with PBE was carried out for a geometry-optimized Er2AlAu8 structure.

## Properties
calculated formation energy = -569 meV/atom

a b c (Å): 4.957 6.610 13.193
angles (deg): 90.00 90.00 90.00
Space group Immm (No. 71)
Inequivalent atoms, fractional coordinates:
Er1 0.000 0.000 0.200 x4
Al1 0.000 0.000 0.500 x2
Au1 0.000 0.238 0.000 x4
Au2 0.000 0.286 0.375 x8
Au3 0.000 0.500 0.177 x4

Entry 6:
A plane-wave DFT calculation with PBE was carried out for a geometry-optimized ZnInAgI4 structure.

## Properties
raw formation energy = -0.425 eV per atom

a b c (Å): 6.983 9.706 8.997
angles (deg): 90.00 100.96 90.00
Space group P2_1/m (No. 11)
Inequivalent atoms, fractional coordinates:
Zn1 0.236 0.250 0.293 x2
In1 0.130 0.750 0.058 x2
Ag1 0.293 0.750 0.692 x2
I1 0.016 0.539 0.739 x4
I2 0.388 0.250 0.040 x2
I3 0.495 0.250 0.543 x2